# 1
Ba2Li3GaSn4 (PBE, optimized geometry); energy of formation = -497 meV per atom; theoretical density = 5.232 g cm⁻³
1.0
4.6637 0.0000 0.0000
0.0000 4.6637 0.0000
0.0000 0.0000 12.2577
Sn Ba Ga Li
4 2 1 3
Cartesian
2.3319 2.3319 0.0000 Sn
2.3319 0.0000 7.7479 Sn
0.0000 0.0000 0.0000 Sn
0.0000 2.3319 4.5098 Sn
2.3319 0.0000 3.1122 Ba
0.0000 2.3319 9.1455 Ba
2.3319 2.3319 6.1288 Ga
0.0000 2.3319 1.6902 Li
2.3319 0.0000 10.5674 Li
0.0000 0.0000 6.1288 Li

# 2
HfZnCoI2 (PBE, optimized geometry); energy relative to the elements, uncorrected = 737 meV/atom; theoretical density = 7.808 g cm⁻³
1.0
5.1234 0.0000 0.0000
0.0000 4.5101 0.0000
0.0000 0.0000 5.1234
Co Zn Hf I
1 1 1 2
Cartesian
0.0000 0.0000 0.0000 Co
0.0000 2.2551 0.0000 Zn
2.5617 2.2551 2.5617 Hf
2.5617 0.0000 0.0000 I
0.0000 0.0000 2.5617 I

# 3
Ca2LuMg (PBE, optimized geometry); energy of formation = 95 meV per atom; theoretical density = 3.537 g cm⁻³; polymorph energy (0 for the lowest one) = 3 meV per atom
1.0
-0.3995 2.4231 3.3260
-0.9425 -3.3067 2.2958
7.4366 -0.9958 1.6187
Lu Mg Ca
1 1 2
Cartesian
3.0473 -0.9397 3.6202 Lu
-0.6710 -0.4418 2.8109 Mg
5.6568 -0.7575 1.2313 Ca
1.7798 -0.2383 0.3874 Ca

# 4
PmAgSeO4 (PBE, optimized geometry); energy relative to the elements, uncorrected = -1498 meV/atom; theoretical density = 5.863 g cm⁻³
1.0
-3.4664 -1.2277 -6.2977
-1.7315 -6.0747 -2.0852
-6.5952 -0.7420 -0.4477
O Ag Pm Se
8 2 2 2
Cartesian
-2.4222 -2.1413 -2.4718 O
-6.0814 -2.3207 -2.1427 O
-7.2401 -4.8320 -3.5179 O
-8.1359 -3.0484 -5.8752 O
-3.6573 -4.9960 -2.9554 O
-5.7118 -5.7236 -6.6879 O
-9.3710 -5.9031 -6.3588 O
-4.5531 -3.2124 -5.3127 O
-3.2976 -0.3710 -0.2238 Ag
-5.0308 -0.9849 -3.3727 Ag
-4.1634 -3.4083 -1.2665 Pm
0.0000 0.0000 0.0000 Pm
-7.5217 -3.1596 -3.6890 Se
-4.2715 -4.8848 -5.1417 Se